4
Lattice="-2.4717 0.9401 1.5838 0.0427 -0.0267 3.0820 2.4890 8.9287 1.5842" Properties=species:S:1:pos:R:3 comment="PBE FeSn2Rh, optimized geometry" final_energy_ev_per_atom=-5.60 formation_energy_ev_per_atom=0.352 space_group="No. 166" pbc="T T T"
Rh 0.0000 0.0000 0.0000
Sn 1.5676 6.5196 1.5762
Sn -1.5075 3.3225 4.6740
Fe 0.0301 4.9211 3.1251